Density functional theory data (PBE) for CeSm12Dy6 after structural relaxation.

Properties
The calculation puts the density of states at the Fermi level at 29.49 states/eV per cell. The volume comes out at 626.12 Å³/cell. For the formation enthalpy at 0 K, the calculation gives 0.028 eV per atom.

extended XYZ file:
```
19
Lattice="-6.7592 -6.6675 -0.7377 5.1977 -1.2802 7.8760 -3.7974 8.7310 -0.1894" Properties=species:S:1:pos:R:3 pbc="T T T"
Dy -2.0741 1.4432 5.6927
Sm -2.6593 -4.7693 5.9300
Dy -4.8753 1.6446 3.5097
Ce 0.0000 0.0000 0.0000
Dy -1.5785 2.3028 2.2381
Dy -3.7804 -1.5195 4.7108
Sm -0.9401 -1.7306 6.8928
Sm -6.5845 -1.3427 2.4962
Dy -3.2848 -0.6599 1.2562
Sm -4.4188 2.5139 0.0561
Sm 2.3822 -1.0770 5.6853
Sm -7.7411 1.8603 1.2636
Sm -0.3125 4.4749 6.6978
Sm -2.2001 -3.8516 2.4847
Sm -3.1588 4.6349 4.4642
Sm -5.0464 -3.6916 0.2511
Dy -0.4836 -0.8613 3.4392
Sm -2.6996 5.5526 1.0189
Sm 1.2256 2.1260 4.4527
```